No. 1
Here is crystalline CdAg2RhN at its relaxed geometry from Alexandria. Energies are from PBE-GGA.

Values from the calculation:
As for the total energy: -2.913 eV per atom. Its crystal system is tetragonal.

Lattice parameters (Å, degrees): 5.2000 5.2000 3.9416 90.00 90.00 90.00
Space group P4/mmm (No. 123)
Inequivalent atoms, fractional coordinates:
Cd  0.0000  0.0000  0.0000 [1 per cell]
Ag  0.0000  0.5000  0.0000 [2 per cell]
Rh  0.5000  0.5000  0.5000 [1 per cell]
N  0.0000  0.0000  0.5000 [1 per cell]

No. 2
Here is crystalline CdAgSe2N at its relaxed geometry from Alexandria. Energies are from PBE-GGA.

Values from the calculation:
Its crystal system is tetragonal. The offset from the most stable computed form is 14.8 kJ per mole of atoms.

Lattice parameters (Å, degrees): 5.3885 5.3885 4.1940 90.00 90.00 90.00
Space group P4/mmm (No. 123)
Inequivalent atoms, fractional coordinates:
Cd  0.0000  0.0000  0.0000 [1 per cell]
Ag  0.5000  0.5000  0.5000 [1 per cell]
Se  0.0000  0.5000  0.0000 [2 per cell]
N  0.0000  0.0000  0.5000 [1 per cell]

No. 3
Here is crystalline CdAgSe2N at its relaxed geometry from Alexandria. Energies are from PBE-GGA.

Values from the calculation:
Its crystal system is tetragonal. The offset from the most stable computed form is 0.0 kJ per mole of atoms.

Lattice parameters (Å, degrees): 5.2613 5.2613 4.0204 90.00 90.00 90.00
Space group P4/mmm (No. 123)
Inequivalent atoms, fractional coordinates:
Cd  0.0000  0.0000  0.0000 [1 per cell]
Ag  0.5000  0.5000  0.5000 [1 per cell]
Se  0.0000  0.5000  0.5000 [2 per cell]
N  0.5000  0.5000  0.0000 [1 per cell]

No. 4
Here is crystalline Sr2CdAgN at its relaxed geometry from Alexandria. Energies are from PBE-GGA.

Values from the calculation:
Its crystal system is tetragonal. The offset from the most stable computed form is 0.0 kJ per mole of atoms.

Lattice parameters (Å, degrees): 5.2885 5.2885 4.5426 90.00 90.00 90.00
Space group P4/mmm (No. 123)
Inequivalent atoms, fractional coordinates:
Sr  0.0000  0.5000  0.0000 [2 per cell]
Cd  0.0000  0.0000  0.5000 [1 per cell]
Ag  0.5000  0.5000  0.5000 [1 per cell]
N  0.0000  0.0000  0.0000 [1 per cell]

No. 5
Here is crystalline Sr2CdAgN at its relaxed geometry from Alexandria. Energies are from PBE-GGA.

Values from the calculation:
Its crystal system is tetragonal. The offset from the most stable computed form is 2.8 kJ per mole of atoms.

Lattice parameters (Å, degrees): 5.3248 5.3248 4.4291 90.00 90.00 90.00
Space group P4/mmm (No. 123)
Inequivalent atoms, fractional coordinates:
Sr  0.0000  0.5000  0.0000 [2 per cell]
Cd  0.0000  0.0000  0.5000 [1 per cell]
Ag  0.5000  0.5000  0.5000 [1 per cell]
N  0.5000  0.5000  0.0000 [1 per cell]

No. 6
Here is crystalline SrCdAgN2 at its relaxed geometry from Alexandria. Energies are from PBE-GGA.

Values from the calculation:
As for the total energy: -2.940 eV per atom. Its crystal system is tetragonal.

Lattice parameters (Å, degrees): 4.4081 4.4081 6.2878 90.00 90.00 90.00
Space group P4/mmm (No. 123)
Inequivalent atoms, fractional coordinates:
Sr  0.0000  0.0000  0.0000 [1 per cell]
Cd  0.0000  0.0000  0.5000 [1 per cell]
Ag  0.5000  0.5000  0.0000 [1 per cell]
N  0.0000  0.5000  0.5000 [2 per cell]

No. 7
Here is crystalline CdAgTeN2 at its relaxed geometry from Alexandria. Energies are from PBE-GGA.

Values from the calculation:
Its crystal system is tetragonal. The offset from the most stable computed form is 4.4 kJ per mole of atoms.

Lattice parameters (Å, degrees): 4.2815 4.2815 6.3724 90.00 90.00 90.00
Space group P4/mmm (No. 123)
Inequivalent atoms, fractional coordinates:
Cd  0.0000  0.0000  0.0000 [1 per cell]
Ag  0.5000  0.5000  0.5000 [1 per cell]
Te  0.0000  0.0000  0.5000 [1 per cell]
N  0.0000  0.5000  0.0000 [2 per cell]

No. 8
Here is crystalline CdAgTeN2 at its relaxed geometry from Alexandria. Energies are from PBE-GGA.

Values from the calculation:
Its crystal system is tetragonal. The offset from the most stable computed form is 0.0 kJ per mole of atoms.

Lattice parameters (Å, degrees): 4.2302 4.2302 6.0149 90.00 90.00 90.00
Space group P4/mmm (No. 123)
Inequivalent atoms, fractional coordinates:
Cd  0.0000  0.0000  0.0000 [1 per cell]
Ag  0.5000  0.5000  0.5000 [1 per cell]
Te  0.5000  0.5000  0.0000 [1 per cell]
N  0.0000  0.5000  0.5000 [2 per cell]

No. 9
Here is crystalline ThCdAgN at its relaxed geometry from Alexandria. Energies are from PBE-GGA.

Values from the calculation:
As for the total energy: -5.637 eV per atom. Its crystal system is tetragonal.

Lattice parameters (Å, degrees): 4.3039 4.3039 9.0785 90.00 90.00 90.00
Space group P4/nmm (No. 129, origin choice 2)
Inequivalent atoms, fractional coordinates:
Th  0.2500  0.2500  0.1157 [2 per cell]
Cd  0.2500  0.7500  0.5000 [2 per cell]
Ag  0.2500  0.2500  0.7049 [2 per cell]
N  0.2500  0.7500  0.0000 [2 per cell]

No. 10
Here is crystalline CdAgW2N at its relaxed geometry from Alexandria. Energies are from PBE-GGA.

Values from the calculation:
As for the total energy: -7.139 eV per atom. Its crystal system is tetragonal.

Lattice parameters (Å, degrees): 4.0639 4.0639 4.8260 90.00 90.00 90.00
Space group P4/mmm (No. 123)
Inequivalent atoms, fractional coordinates:
Cd  0.0000  0.0000  0.0000 [1 per cell]
Ag  0.5000  0.5000  0.0000 [1 per cell]
W  0.0000  0.5000  0.5000 [2 per cell]
N  0.5000  0.5000  0.5000 [1 per cell]

No. 11
Here is crystalline Na12CdAg6 at its relaxed geometry from Alexandria. Energies are from PBE-GGA.

Values from the calculation:
Its crystal system is trigonal. For the formation energy, the calculation gives -15 meV/atom. The offset from the most stable computed form is 0.0 kJ per mole of atoms.

Lattice parameters (Å, degrees): 10.9783 10.9783 14.1587 90.00 90.00 120.00
Space group R-3 (No. 148, hexagonal axes)
Inequivalent atoms, fractional coordinates:
Na  0.0351  0.1948  0.3144 [18 per cell]
Na  0.0574  0.8350  0.9125 [18 per cell]
Cd  0.0000  0.0000  0.5000 [3 per cell]
Ag  0.0418  0.4486  0.1990 [18 per cell]

No. 12
Here is crystalline Na12Cd3Ag at its relaxed geometry from Alexandria. Energies are from PBE-GGA.

Values from the calculation:
Its crystal system is tetragonal. For the formation energy, the calculation gives -22 meV/atom.

Lattice parameters (Å, degrees): 4.9844 4.9844 18.9100 90.00 90.00 90.00
Space group P4/mmm (No. 123)
Inequivalent atoms, fractional coordinates:
Na  0.0000  0.0000  0.0000 [1 per cell]
Na  0.0000  0.0000  0.2442 [2 per cell]
Na  0.0000  0.0000  0.5000 [1 per cell]
Na  0.0000  0.5000  0.1170 [4 per cell]
Na  0.0000  0.5000  0.3718 [4 per cell]
Cd  0.5000  0.5000  0.2458 [2 per cell]
Cd  0.5000  0.5000  0.5000 [1 per cell]
Ag  0.5000  0.5000  0.0000 [1 per cell]

No. 13
Here is crystalline NaCd6Ag2 at its relaxed geometry from Alexandria. Energies are from PBE-GGA.

Values from the calculation:
Its crystal system is hexagonal. For the formation energy, the calculation gives 62 meV/atom. The offset from the most stable computed form is 7.7 kJ per mole of atoms.

Lattice parameters (Å, degrees): 6.0662 6.0662 7.5230 90.00 90.00 120.00
Space group P6/mmm (No. 191)
Inequivalent atoms, fractional coordinates:
Na  0.0000  0.0000  0.0000 [1 per cell]
Cd  0.0000  0.5000  0.1977 [6 per cell]
Ag  0.3333  0.6667  0.5000 [2 per cell]

No. 14
Here is crystalline NaCdAg3 at its relaxed geometry from Alexandria. Energies are from PBE-GGA.

Values from the calculation:
Its crystal system is cubic. For the formation energy, the calculation gives 347 meV/atom. The offset from the most stable computed form is 36.1 kJ per mole of atoms.

Lattice parameters (Å, degrees): 5.2664 5.2664 5.2664 90.00 90.00 90.00
Space group Pm-3m (No. 221)
Inequivalent atoms, fractional coordinates:
Na  0.0000  0.0000  0.0000 [1 per cell]
Cd  0.5000  0.5000  0.5000 [1 per cell]
Ag  0.0000  0.5000  0.5000 [3 per cell]

No. 15
Here is crystalline NaCd5Ag at its relaxed geometry from Alexandria. Energies are from PBE-GGA.

Values from the calculation:
Its crystal system is orthorhombic. For the formation energy, the calculation gives 9 meV/atom.

Lattice parameters (Å, degrees): 5.8534 9.3124 6.1799 90.00 90.00 90.00
Space group Cmmm (No. 65)
Inequivalent atoms, fractional coordinates:
Na  0.0000  0.0000  0.0000 [2 per cell]
Cd  0.0000  0.0000  0.5000 [2 per cell]
Cd  0.2500  0.2500  0.2502 [8 per cell]
Ag  0.0000  0.5000  0.5000 [2 per cell]

No. 16
Here is crystalline Na2Cd5Ag3 at its relaxed geometry from Alexandria. Energies are from PBE-GGA.

Values from the calculation:
Its crystal system is monoclinic. For the formation energy, the calculation gives -52 meV/atom.

Lattice parameters (Å, degrees): 10.6734 14.3188 5.6823 90.00 92.54 90.00
Space group C2/c (No. 15)
Inequivalent atoms, fractional coordinates:
Na  0.1237  0.2449  0.1186 [8 per cell]
Cd  0.0000  0.0360  0.2500 [4 per cell]
Cd  0.1266  0.3476  0.6076 [8 per cell]
Cd  0.2423  0.4595  0.0086 [8 per cell]
Ag  0.0000  0.4693  0.2500 [4 per cell]
Ag  0.1221  0.1476  0.6250 [8 per cell]

No. 17
Here is crystalline NaCdAg4 at its relaxed geometry from Alexandria. Energies are from PBE-GGA.

Values from the calculation:
Its crystal system is monoclinic. For the formation energy, the calculation gives 29 meV/atom. The offset from the most stable computed form is 4.6 kJ per mole of atoms.

Lattice parameters (Å, degrees): 7.1368 8.2722 8.2194 90.00 98.90 90.00
Space group C2/c (No. 15)
Inequivalent atoms, fractional coordinates:
Na  0.0000  0.1130  0.2500 [4 per cell]
Cd  0.0000  0.4721  0.2500 [4 per cell]
Ag  0.1283  0.2183  0.6245 [8 per cell]
Ag  0.2475  0.4159  0.0218 [8 per cell]

No. 18
Here is crystalline NaCd4Ag at its relaxed geometry from Alexandria. Energies are from PBE-GGA.

Values from the calculation:
Its crystal system is orthorhombic. For the formation energy, the calculation gives -46 meV/atom. The offset from the most stable computed form is 1.5 kJ per mole of atoms.

Lattice parameters (Å, degrees): 3.0699 4.2779 10.1408 90.00 90.00 90.00
Space group Pmmm (No. 47)
Inequivalent atoms, fractional coordinates:
Na  0.0000  0.0000  0.0000 [1 per cell]
Cd  0.0000  0.0000  0.3474 [2 per cell]
Cd  0.5000  0.5000  0.1859 [2 per cell]
Ag  0.5000  0.5000  0.5000 [1 per cell]

No. 19
Here is crystalline Na3Cd4Ag2 at its relaxed geometry from Alexandria. Energies are from PBE-GGA.

Values from the calculation:
Its crystal system is monoclinic. For the formation energy, the calculation gives -77 meV/atom. The offset from the most stable computed form is 0.0 kJ per mole of atoms.

Lattice parameters (Å, degrees): 10.8551 5.0884 9.1916 90.00 124.85 90.00
Space group C2/m (No. 12)
Inequivalent atoms, fractional coordinates:
Na  0.0000  0.0000  0.0000 [2 per cell]
Na  0.1659  0.5000  0.6665 [4 per cell]
Cd  0.0663  0.0000  0.3960 [4 per cell]
Cd  0.2070  0.5000  0.0449 [4 per cell]
Ag  0.1114  0.5000  0.2797 [4 per cell]

No. 20
Here is crystalline NaCd2Ag7 at its relaxed geometry from Alexandria. Energies are from PBE-GGA.

Values from the calculation:
Its crystal system is orthorhombic. For the formation energy, the calculation gives 225 meV/atom.

Lattice parameters (Å, degrees): 7.5700 14.3124 4.6142 90.00 90.00 90.00
Space group Cmmm (No. 65)
Inequivalent atoms, fractional coordinates:
Na  0.0000  0.0000  0.0000 [2 per cell]
Cd  0.0000  0.2991  0.5000 [4 per cell]
Ag  0.0000  0.1930  0.0000 [4 per cell]
Ag  0.0000  0.5000  0.5000 [2 per cell]
Ag  0.1814  0.1046  0.5000 [8 per cell]

No. 21
Here is crystalline Na3Cd6Ag at its relaxed geometry from Alexandria. Energies are from PBE-GGA.

Values from the calculation:
Its crystal system is cubic. For the formation energy, the calculation gives 224 meV/atom. The offset from the most stable computed form is 28.4 kJ per mole of atoms.

Lattice parameters (Å, degrees): 10.9828 10.9828 10.9828 90.00 90.00 90.00
Space group Fm-3m (No. 225)
Inequivalent atoms, fractional coordinates:
Na  0.0000  0.0000  0.0000 [4 per cell]
Na  0.2500  0.2500  0.2500 [8 per cell]
Cd  0.0000  0.0000  0.2543 [24 per cell]
Ag  0.0000  0.0000  0.5000 [4 per cell]

No. 22
Here is crystalline NaCd5Ag6 at its relaxed geometry from Alexandria. Energies are from PBE-GGA.

Values from the calculation:
Its crystal system is orthorhombic. For the formation energy, the calculation gives -43 meV/atom.

Lattice parameters (Å, degrees): 4.3579 8.4223 12.8128 90.00 90.00 90.00
Space group Immm (No. 71)
Inequivalent atoms, fractional coordinates:
Na  0.0000  0.0000  0.0000 [2 per cell]
Cd  0.0000  0.0000  0.3308 [4 per cell]
Cd  0.0000  0.5000  0.0000 [2 per cell]
Cd  0.0000  0.5000  0.3367 [4 per cell]
Ag  0.0000  0.2444  0.5000 [4 per cell]
Ag  0.0000  0.2530  0.1677 [8 per cell]

No. 23
Here is crystalline NaCd6Ag2 at its relaxed geometry from Alexandria. Energies are from PBE-GGA.

Values from the calculation:
Its crystal system is monoclinic. For the formation energy, the calculation gives -18 meV/atom. The offset from the most stable computed form is 0.0 kJ per mole of atoms.

Lattice parameters (Å, degrees): 15.2543 8.3601 3.1553 90.00 100.07 90.00
Space group C2/m (No. 12)
Inequivalent atoms, fractional coordinates:
Na  0.0000  0.0000  0.0000 [2 per cell]
Cd  0.0000  0.3293  0.5000 [4 per cell]
Cd  0.1742  0.1762  0.6796 [8 per cell]
Ag  0.1493  0.5000  0.1386 [4 per cell]